DFT (meta-GGA SCAN) results for a PBEsol-optimized structure of TlAuI3.

Properties
Fermi-level density of states	0.28	states/eV/atom
formation energy (no corrections)	-0.266	eV per atom
volume	175.3	Å³/cell
magnetic moment	0.0	μB/f.u.

CIF file:
```
data_TlAuI3
_chemical_formula_sum 'Tl1 Au1 I3'
_cell_length_a 5.5970
_cell_length_b 5.5970
_cell_length_c 5.5970
_cell_angle_alpha 90.00
_cell_angle_beta 90.00
_cell_angle_gamma 90.00
_symmetry_space_group_name_H-M 'P m -3 m'
_symmetry_Int_Tables_number 221
_symmetry_space_group_name_Hall '-P 4 2 3'
loop_
_atom_site_label
_atom_site_fract_x
_atom_site_fract_y
_atom_site_fract_z
Tl1 0.0000 0.0000 0.0000
Au1 0.5000 0.5000 0.5000
I1 0.0000 0.5000 0.5000
```


DFT (meta-GGA SCAN) results for a PBEsol-optimized structure of CoAg3Cl.

Properties
Fermi-level density of states	0.38	states/eV/atom
formation energy (no corrections)	1.012	eV per atom
volume	110.5	Å³/cell
magnetic moment	2.1	μB/f.u.

CIF file:
```
data_CoAg3Cl
_chemical_formula_sum 'Co1 Ag3 Cl1'
_cell_length_a 4.7987
_cell_length_b 4.7987
_cell_length_c 4.7987
_cell_angle_alpha 90.00
_cell_angle_beta 90.00
_cell_angle_gamma 90.00
_symmetry_space_group_name_H-M 'P m -3 m'
_symmetry_Int_Tables_number 221
_symmetry_space_group_name_Hall '-P 4 2 3'
loop_
_atom_site_label
_atom_site_fract_x
_atom_site_fract_y
_atom_site_fract_z
Co1 0.0000 0.0000 0.0000
Ag1 0.0000 0.5000 0.5000
Cl1 0.5000 0.5000 0.5000
```


DFT (meta-GGA SCAN) results for a PBEsol-optimized structure of Ca2LaMo.

Properties
E above lowest polymorph	76	kJ/mol of formula units
Fermi-level density of states	1.20	states/eV/atom
energy relative to the elements	706	meV per atom
volume	105.7	Å³/cell
magnetic moment	2.2	μB/f.u.

CIF file:
```
data_Ca2LaMo
_chemical_formula_sum 'Ca2 La1 Mo1'
_cell_length_a 4.5083
_cell_length_b 4.5083
_cell_length_c 5.2011
_cell_angle_alpha 90.00
_cell_angle_beta 90.00
_cell_angle_gamma 90.00
_symmetry_space_group_name_H-M 'P 4/m m m'
_symmetry_Int_Tables_number 123
_symmetry_space_group_name_Hall '-P 4 2'
loop_
_atom_site_label
_atom_site_fract_x
_atom_site_fract_y
_atom_site_fract_z
Ca1 0.0000 0.5000 0.0000
La1 0.0000 0.0000 0.5000
Mo1 0.5000 0.5000 0.5000
```


DFT (meta-GGA SCAN) results for a PBEsol-optimized structure of Mg2TlSn2.

Properties
E above lowest polymorph	16	kJ/mol of formula units
Fermi-level density of states	0.34	states/eV/atom
energy relative to the elements	-61	meV per atom
volume	276.4	Å³/cell
magnetic moment	0.0	μB/f.u.

CIF file:
```
data_Mg2TlSn2
_chemical_formula_sum 'Mg4 Tl2 Sn4'
_cell_length_a 4.7874
_cell_length_b 4.7874
_cell_length_c 12.0583
_cell_angle_alpha 90.00
_cell_angle_beta 90.00
_cell_angle_gamma 90.00
_symmetry_space_group_name_H-M 'I 4/m m m'
_symmetry_Int_Tables_number 139
_symmetry_space_group_name_Hall '-I 4 2'
loop_
_atom_site_label
_atom_site_fract_x
_atom_site_fract_y
_atom_site_fract_z
Mg1 0.0000 0.5000 0.2500
Tl1 0.0000 0.0000 0.0000
Sn1 0.0000 0.0000 0.3866
```


DFT (meta-GGA SCAN) results for a PBEsol-optimized structure of B2PI.

Properties
Fermi-level density of states	0.30	states/eV/atom
formation energy (no corrections)	0.799	eV per atom
volume	244.3	Å³/cell
magnetic moment	0.0	μB/f.u.

CIF file:
```
data_B2PI
_chemical_formula_sum 'B8 P4 I4'
_cell_length_a 5.4711
_cell_length_b 5.4711
_cell_length_c 8.1605
_cell_angle_alpha 90.00
_cell_angle_beta 90.00
_cell_angle_gamma 90.00
_symmetry_space_group_name_H-M 'I -4 2 d'
_symmetry_Int_Tables_number 122
_symmetry_space_group_name_Hall 'I -4 2bw'
loop_
_atom_site_label
_atom_site_fract_x
_atom_site_fract_y
_atom_site_fract_z
B1 0.1621 0.7500 0.1250
P1 0.0000 0.0000 0.0000
I1 0.0000 0.0000 0.5000
```


DFT (meta-GGA SCAN) results for a PBEsol-optimized structure of LiFe3N.

Properties
Fermi-level density of states	0.77	states/eV/atom
formation energy (no corrections)	-0.036	eV per atom
volume	50.0	Å³/cell
magnetic moment	7.3	μB/f.u.

CIF file:
```
data_LiFe3N
_chemical_formula_sum 'Li1 Fe3 N1'
_cell_length_a 3.6838
_cell_length_b 3.6838
_cell_length_c 3.6838
_cell_angle_alpha 90.00
_cell_angle_beta 90.00
_cell_angle_gamma 90.00
_symmetry_space_group_name_H-M 'P m -3 m'
_symmetry_Int_Tables_number 221
_symmetry_space_group_name_Hall '-P 4 2 3'
loop_
_atom_site_label
_atom_site_fract_x
_atom_site_fract_y
_atom_site_fract_z
Li1 0.0000 0.0000 0.0000
Fe1 0.0000 0.5000 0.5000
N1 0.5000 0.5000 0.5000
```


DFT (meta-GGA SCAN) results for a PBEsol-optimized structure of LiBMo2H.

Properties
Fermi-level density of states	0.51	states/eV/atom
VASP energy	-15.366	eV per atom
volume	49.5	Å³/cell
magnetic moment	0.0	μB/f.u.

CIF file:
```
data_LiBMo2H
_chemical_formula_sum 'Li1 B1 Mo2 H1'
_cell_length_a 4.3682
_cell_length_b 4.3682
_cell_length_c 2.5933
_cell_angle_alpha 90.00
_cell_angle_beta 90.00
_cell_angle_gamma 90.00
_symmetry_space_group_name_H-M 'P 4/m m m'
_symmetry_Int_Tables_number 123
_symmetry_space_group_name_Hall '-P 4 2'
loop_
_atom_site_label
_atom_site_fract_x
_atom_site_fract_y
_atom_site_fract_z
Li1 0.0000 0.0000 0.0000
B1 0.5000 0.5000 0.5000
Mo1 0.0000 0.5000 0.0000
H1 0.0000 0.0000 0.5000
```


DFT (meta-GGA SCAN) results for a PBEsol-optimized structure of CaReSi2.

Properties
Fermi-level density of states	0.54	states/eV/atom
formation energy (no corrections)	0.453	eV per atom
volume	126.0	Å³/cell
magnetic moment	0.0	μB/f.u.

CIF file:
```
data_CaReSi2
_chemical_formula_sum 'Ca2 Re2 Si4'
_cell_length_a 5.6038
_cell_length_b 8.0767
_cell_length_c 2.7834
_cell_angle_alpha 90.00
_cell_angle_beta 90.00
_cell_angle_gamma 90.00
_symmetry_space_group_name_H-M 'C m m m'
_symmetry_Int_Tables_number 65
_symmetry_space_group_name_Hall '-C 2 2'
loop_
_atom_site_label
_atom_site_fract_x
_atom_site_fract_y
_atom_site_fract_z
Ca1 0.0000 0.0000 0.0000
Re1 0.0000 0.5000 0.0000
Si1 0.2500 0.2500 0.5000
```


The highest magnetic moment belongs to which entry? LiFe3N


What did the seventh record say?
DFT (meta-GGA SCAN) results for a PBEsol-optimized structure of LiBMo2H.

Properties
Fermi-level density of states	0.51	states/eV/atom
VASP energy	-15.366	eV per atom
volume	49.5	Å³/cell
magnetic moment	0.0	μB/f.u.

CIF file:
```
data_LiBMo2H
_chemical_formula_sum 'Li1 B1 Mo2 H1'
_cell_length_a 4.3682
_cell_length_b 4.3682
_cell_length_c 2.5933
_cell_angle_alpha 90.00
_cell_angle_beta 90.00
_cell_angle_gamma 90.00
_symmetry_space_group_name_H-M 'P 4/m m m'
_symmetry_Int_Tables_number 123
_symmetry_space_group_name_Hall '-P 4 2'
loop_
_atom_site_label
_atom_site_fract_x
_atom_site_fract_y
_atom_site_fract_z
Li1 0.0000 0.0000 0.0000
B1 0.5000 0.5000 0.5000
Mo1 0.0000 0.5000 0.0000
H1 0.0000 0.0000 0.5000
```